No. 1
Here is crystalline Ca2TlCrO6 at its relaxed geometry from the Alexandria database. Energies are from PBE+U.

a = 5.131 Å, b = 5.397 Å, c = 5.397 Å
α = 90.00°, β = 90.00°, γ = 90.00°
Sites, in units of the cell vectors:
1 Cr 0.600 0.000 0.000
2 Tl 0.548 0.500 0.500
3 O 0.276 0.000 0.000
4 O 0.729 0.771 0.771
5 O 0.729 0.229 0.229
6 O 0.729 0.229 0.771
7 O 0.141 0.500 0.500
8 O 0.729 0.771 0.229
9 Ca 0.982 0.500 0.000
10 Ca 0.982 0.000 0.500

SG: P4mm (99)

=====

No. 2
Here is crystalline CaUCrO6 at its relaxed geometry from the Alexandria database. Energies are from PBE+U.

a = 5.381 Å, b = 5.381 Å, c = 9.965 Å
α = 90.00°, β = 90.00°, γ = 120.00°
Sites, in units of the cell vectors:
1 Cr 0.333 0.667 0.750
2 Cr 0.667 0.333 0.250
3 O 0.355 0.370 0.857
4 O 0.645 0.630 0.143
5 O 0.985 0.355 0.143
6 O 0.015 0.645 0.857
7 O 0.370 0.015 0.143
8 O 0.370 0.355 0.357
9 O 0.985 0.630 0.357
10 O 0.015 0.370 0.643
11 O 0.630 0.985 0.857
12 O 0.355 0.985 0.643
13 O 0.630 0.645 0.643
14 O 0.645 0.015 0.357
15 U 0.333 0.667 0.250
16 U 0.667 0.333 0.750
17 Ca 0.000 0.000 0.000
18 Ca 0.000 0.000 0.500

SG: P-31c (163)

=====

No. 3
Here is crystalline CaUCr2O8 at its relaxed geometry from the Alexandria database. Energies are from PBE+U.

a = 5.960 Å, b = 5.960 Å, c = 5.960 Å
α = 106.82°, β = 106.82°, γ = 114.92°
Sites, in units of the cell vectors:
1 O 0.327 0.129 0.802
2 O 0.377 0.051 0.325
3 O 0.949 0.623 0.675
4 O 0.327 0.525 0.198
5 O 0.871 0.673 0.198
6 O 0.949 0.274 0.325
7 O 0.475 0.673 0.802
8 O 0.726 0.051 0.675
9 Ca 0.000 0.000 0.000
10 Cr 0.500 0.500 0.000
11 Cr 0.750 0.250 0.500
12 U 0.250 0.750 0.500

SG: I-4m2 (119)

=====

| no. | energy (eV/atom) | theoretical density (g cm⁻³) |
| --- | --- | --- |
| 1 | -6.144 | 4.81 |
| 2 | -8.221 | 5.66 |
| 3 | -7.895 | 5.23 |